Record 1
Computed, not measured: a relaxed HfScBeIr crystal at the PBE level of DFT.

Cell: 4.4708 4.4708 4.4708 Å, 60.00 60.00 60.00°
Last column: nearest neighbours and their distance in Å.
Atoms (fractional coordinates):
Be 0.7500 0.7500 0.7500  4 Ir 2.74, 4 Sc 2.74
Hf 0.2500 0.2500 0.2500  4 Sc 2.74, 4 Ir 2.74
Ir 0.0000 0.0000 0.0000  4 Hf 2.74, 4 Be 2.74
Sc 0.5000 0.5000 0.5000  4 Hf 2.74, 4 Be 2.74

Theoretical density   11.2 g cm⁻³
Space group   F-43m, No. 216
Energy relative to the lowest polymorph listed for this composition   0.077 eV per atom


Record 2
Computed, not measured: a relaxed Dy2ErFe2B2N3 crystal at the PBE level of DFT.

Cell: 10.4366 10.4366 10.4366 Å, 161.06 161.06 26.92°
Last column: nearest neighbours and their distance in Å.
Atoms (fractional coordinates):
B 0.1872 0.1872 0.0000  1 N 1.49
B 0.8128 0.8128 0.0000  1 N 1.49
Dy 0.3784 0.3784 0.0000  5 N 2.43-2.47
Dy 0.6216 0.6216 0.0000  5 N 2.43-2.47
Er 0.0000 0.0000 0.0000  6 N 2.31-2.43
Fe 0.7500 0.2500 0.5000  4 B 2.14
Fe 0.2500 0.7500 0.5000  4 B 2.14
N 0.1140 0.1140 0.0000  1 B 1.49
N 0.5000 0.5000 0.0000  4 Er 2.43, 2 Dy 2.47
N 0.8860 0.8860 0.0000  1 B 1.49

Theoretical density   9.3 g cm⁻³
Energy   -8.059 eV per atom
Space group   I4/mmm, No. 139


Record 3
Computed, not measured: a relaxed OsAuNO crystal at the PBE level of DFT.

Cell: 3.6894 3.6894 6.8044 Å, 90.00 90.00 90.00°
Last column: nearest neighbours and their distance in Å.
Atoms (fractional coordinates):
Au 0.7500 0.2500 0.5000  4 N 2.47, 4 Au 2.61
Au 0.2500 0.7500 0.5000  4 N 2.47, 4 Au 2.61
N 0.7500 0.7500 0.2596  4 Au 2.47, 4 O 2.55, 4 Os 2.69
N 0.2500 0.2500 0.7403  4 Au 2.47, 4 O 2.55, 4 Os 2.69
O 0.7500 0.2500 0.0000  4 Os 2.16
O 0.2500 0.7500 0.0000  4 Os 2.16
Os 0.2500 0.2500 0.1641  4 O 2.16
Os 0.7500 0.7500 0.8359  4 O 2.16

Theoretical density   15.0 g cm⁻³
Space group   P4/nmm, No. 129
Energy relative to the lowest polymorph listed for this composition   1.202 eV per atom


Q: Which of these has the highest theoretical density?
A: OsAuNO


Q: The lowest theoretical density belongs to which entry?
A: Dy2ErFe2B2N3


Q: Number 1 is which compound?
A: HfScBeIr